No. 1
LiTbCd6 (PBE, relaxed); energy above the most stable polymorph in this dataset = 3 meV/atom; calculated formation energy = -208 meV per atom
1.0
-2.270 -3.722 1.485
1.561 -2.393 -3.612
6.807 -2.354 4.502
Cd Tb Li
6 1 1
Direct
0.500 0.000 0.734
0.500 0.500 0.000
0.500 0.500 0.500
0.500 0.000 0.266
0.000 0.500 0.266
0.000 0.500 0.734
0.000 0.000 0.000
0.000 0.000 0.500

=====

No. 2
LaTlSeS (PBE, relaxed); raw formation energy = -5.86 eV/f.u.
1.0
4.335 -0.001 -0.001
-2.167 3.755 0.000
-2.168 -1.251 7.713
Tl Se La S
1 1 1 1
Direct
0.967 0.382 0.364
0.495 0.146 0.656
0.312 0.554 0.881
0.103 0.949 0.068

=====

No. 3
Li4AcPd (PBE, relaxed); calculated formation energy = -92 meV per atom
1.0
-3.291 4.443 -0.036
-5.264 -0.471 -1.623
-4.084 0.445 3.700
Pd Li Ac
1 4 1
Direct
0.000 0.000 0.000
0.629 0.629 0.629
0.629 0.114 0.629
0.629 0.629 0.114
0.114 0.629 0.629
0.250 0.250 0.250

=====

No. 4
YMnAlS4 (PBE, relaxed); raw formation energy = -8.54 eV/f.u.
1.0
7.502 0.000 0.000
3.751 6.516 0.066
3.751 2.048 6.186
S Al Y Mn
8 2 2 2
Direct
0.261 0.246 0.746
0.254 0.754 0.254
0.746 0.246 0.746
0.744 0.247 0.266
0.256 0.234 0.253
0.256 0.753 0.734
0.744 0.766 0.747
0.739 0.754 0.254
0.370 0.380 0.880
0.630 0.620 0.120
0.000 0.000 0.000
0.000 0.500 0.500
0.500 0.000 0.500
0.000 0.000 0.500

=====

No. 5
LaMgCo2 (PBE, relaxed); calculated formation energy = 119 meV per atom
1.0
3.122 0.000 0.000
0.000 3.122 0.000
0.000 0.000 7.702
Mg Co La
1 2 1
Direct
0.500 0.500 0.826
0.000 0.000 0.046
0.500 0.500 0.177
0.000 0.000 0.452

=====

No. 6
Pr3Ga (PBE, relaxed); energy above the most stable polymorph in this dataset = 5 meV/atom; calculated formation energy = -252 meV per atom
1.0
3.770 0.000 0.000
-1.885 6.464 0.000
0.000 0.000 10.237
Pr Ga
6 2
Direct
0.138 0.277 0.541
0.862 0.723 0.459
0.446 0.891 0.750
0.554 0.109 0.250
0.862 0.723 0.041
0.138 0.277 0.959
0.749 0.498 0.750
0.251 0.502 0.250

=====

No. 7
HoPu3Tl12 (PBE, relaxed); calculated formation energy = -68 meV per atom
1.0
-4.609 -1.045 -0.714
0.720 -4.383 1.767
-4.174 6.404 17.588
Ho Tl Pu
1 12 3
Direct
0.000 0.000 0.000
0.000 0.500 0.626
0.500 0.000 0.374
0.000 0.500 0.374
0.500 0.500 0.000
0.500 0.000 0.626
0.500 0.500 0.750
0.500 0.000 0.876
0.000 0.500 0.876
0.500 0.000 0.124
0.500 0.500 0.250
0.000 0.500 0.124
0.500 0.500 0.500
0.000 0.000 0.753
0.000 0.000 0.500
0.000 0.000 0.247

=====

No. 8
Th2Pa2C3 (PBE, relaxed); calculated formation energy = -295 meV per atom
1.0
-2.282 -2.542 -1.282
0.489 -3.168 5.412
-3.598 5.000 1.682
Pa C Th
2 3 2
Direct
0.871 0.638 0.741
0.129 0.362 0.259
0.000 0.000 0.000
0.259 0.724 0.518
0.741 0.276 0.482
0.376 0.133 0.753
0.624 0.867 0.247

=====

No. 9
Ce3PtRh (PBE, relaxed); energy above the most stable polymorph in this dataset = 69 meV/atom; calculated formation energy = -641 meV per atom
1.0
4.442 -0.012 0.002
-2.203 7.035 -1.030
-0.014 -4.375 8.266
Pt Rh Ce
2 2 6
Direct
0.336 0.672 0.659
0.664 0.328 0.341
0.168 0.337 0.873
0.832 0.663 0.127
0.419 0.835 0.047
0.581 0.165 0.953
0.071 0.142 0.439
0.294 0.589 0.298
0.706 0.411 0.702
0.929 0.858 0.561

=====

No. 10
Li8SbO3 (PBE, relaxed); raw formation energy = -13.18 eV/f.u.
1.0
-2.429 4.553 0.989
-3.424 -0.989 -3.861
-3.160 -2.430 3.424
Li Sb O
8 1 3
Direct
0.726 0.274 0.726
0.274 0.274 0.274
0.726 0.274 0.274
0.726 0.726 0.726
0.274 0.274 0.726
0.726 0.726 0.274
0.274 0.726 0.274
0.274 0.726 0.726
0.000 0.000 0.000
0.500 0.500 0.000
0.500 0.000 0.500
0.000 0.500 0.500

=====

No. 11
NbSiMo (PBE, relaxed); raw formation energy = -0.80 eV/f.u.
1.0
-2.283 1.318 2.005
-2.377 -1.626 -1.637
2.761 -3.174 2.495
Mo Nb Si
1 1 1
Direct
0.942 0.942 0.885
0.617 0.617 0.235
0.290 0.290 0.580

=====

No. 12
BaSiIr2Br (PBE, relaxed); raw formation energy = 6.08 eV/f.u.
1.0
-1.778 -4.314 0.894
4.586 -1.186 3.399
-2.333 1.739 3.755
Br Ir Si Ba
1 2 1 1
Direct
0.000 0.000 0.000
0.500 0.000 0.000
0.000 0.000 0.500
0.500 0.500 0.500
0.000 0.500 0.000

=====

No. 13
Tb2EuO (PBE, relaxed); energy above the most stable polymorph in this dataset = 0 meV/atom; raw formation energy = -4.83 eV/f.u.
1.0
3.549 0.000 0.000
1.774 3.073 0.000
1.774 1.024 9.428
O Tb Eu
1 2 1
Direct
0.500 0.500 0.500
0.121 0.121 0.638
0.879 0.879 0.362
0.000 0.000 0.000

=====

No. 14
Tb12Pm5Ho2 (PBE, relaxed); energy above the most stable polymorph in this dataset = 0 meV/atom; calculated formation energy = 114 meV per atom
1.0
-4.190 -4.354 -0.192
3.213 -2.387 -8.942
5.810 -4.380 9.772
Pm Tb Ho
5 12 2
Direct
0.100 0.692 0.155
0.503 0.623 0.667
0.497 0.377 0.333
0.900 0.308 0.845
0.000 0.000 0.500
0.429 0.331 0.014
0.387 0.309 0.712
0.428 0.071 0.393
0.928 0.356 0.540
0.040 0.659 0.843
0.165 0.958 0.775
0.960 0.341 0.157
0.572 0.929 0.607
0.571 0.669 0.986
0.835 0.042 0.225
0.072 0.644 0.460
0.613 0.691 0.288
0.282 0.014 0.079
0.718 0.986 0.921

=====

No. 15
Th2Ni4As3Pt (PBE, relaxed); calculated formation energy = -796 meV per atom
1.0
-0.966 -3.726 1.506
3.160 -1.661 -2.082
5.954 1.595 7.764
Pt Ni Th As
1 4 2 3
Direct
0.500 0.500 0.500
0.500 0.500 0.000
0.000 0.000 0.000
0.500 0.000 0.643
0.000 0.500 0.357
0.000 0.500 0.751
0.500 0.000 0.249
0.500 0.000 0.875
0.000 0.000 0.500
0.000 0.500 0.125

=====

No. 16
Tb3AuSe2 (PBE, relaxed); energy above the most stable polymorph in this dataset = 6 meV/atom; raw formation energy = -8.66 eV/f.u.
1.0
4.027 0.000 0.000
0.000 5.882 0.000
-2.013 -2.941 6.380
Se Au Tb
2 1 3
Direct
0.166 0.166 0.833
0.834 0.834 0.167
0.500 0.500 0.500
0.500 0.000 0.500
0.832 0.332 0.164
0.168 0.668 0.836

=====

No. 17
Tl7S5 (PBE, relaxed); raw formation energy = -2.95 eV/f.u.
1.0
4.338 0.000 0.000
-2.169 7.205 -0.117
0.000 -3.453 11.659
S Tl
5 7
Direct
0.642 0.285 0.788
0.000 0.000 0.000
0.121 0.243 0.403
0.879 0.757 0.597
0.358 0.715 0.212
0.658 0.315 0.048
0.500 0.000 0.500
0.249 0.497 0.642
0.342 0.685 0.952
0.028 0.056 0.785
0.751 0.503 0.358
0.972 0.944 0.215

=====

No. 18
AcPuGa2 (PBE, relaxed); energy above the most stable polymorph in this dataset = 229 meV/atom; calculated formation energy = -88 meV per atom
1.0
-2.894 2.124 1.057
-3.114 0.087 -2.075
-5.513 -6.516 4.627
Ac Ga Pu
1 2 1
Direct
0.000 0.000 0.000
0.755 0.755 0.734
0.245 0.245 0.266
0.500 0.500 0.500

=====

No. 19
Sc2Sn2Se (PBE, relaxed); energy above the most stable polymorph in this dataset = 238 meV/atom; raw formation energy = -2.75 eV/f.u.
1.0
-2.218 -2.548 -2.145
-0.395 -2.357 3.209
-7.606 1.340 2.543
Se Sc Sn
1 2 2
Direct
0.000 0.000 0.000
0.401 0.401 0.197
0.599 0.599 0.803
0.250 0.750 0.500
0.750 0.250 0.500

=====

No. 20
MgIn15Hg4 (PBE, relaxed); calculated formation energy = -4 meV per atom
1.0
-0.921 -4.267 -1.782
4.622 -0.795 -0.485
0.689 -9.186 21.639
In Mg Hg
15 1 4
Direct
0.000 0.500 0.904
0.500 0.000 0.904
0.000 0.500 0.500
0.500 0.500 0.600
0.500 0.500 0.803
0.000 0.500 0.298
0.500 0.500 0.197
0.500 0.500 0.400
0.500 0.000 0.298
0.500 0.000 0.096
0.500 0.000 0.500
0.000 0.500 0.702
0.000 0.500 0.096
0.500 0.500 0.000
0.500 0.000 0.702
0.000 0.000 0.000
0.000 0.000 0.601
0.000 0.000 0.803
0.000 0.000 0.197
0.000 0.000 0.399

=====

No. 21
Gd (PBE, relaxed); energy above the most stable polymorph in this dataset = 58 meV/atom; calculated formation energy = 58 meV per atom
1.0
-0.448 2.745 -2.087
-4.590 -2.461 -2.252
-0.521 3.366 4.538
Gd
3
Direct
0.500 0.666 0.334
0.500 0.334 0.666
0.000 0.000 0.000

=====

No. 22
Cu2PbSeS (PBE, relaxed); raw formation energy = -1.24 eV/f.u.
1.0
-0.341 2.849 -2.807
-6.859 -0.370 0.457
2.126 5.386 5.208
Cu S Pb Se
4 2 2 2
Direct
0.750 0.470 0.109
0.250 0.530 0.891
0.250 0.497 0.353
0.750 0.503 0.647
0.750 0.721 0.934
0.250 0.279 0.066
0.750 0.084 0.774
0.250 0.916 0.226
0.250 0.278 0.569
0.750 0.722 0.431

=====

No. 23
Pu2Tc2P2H (PBE, relaxed); DFT total energy = -68.16 eV per cell
1.0
4.007 0.000 0.000
0.000 4.007 0.000
-2.004 -2.004 6.923
Tc Pu H P
2 2 1 2
Direct
0.000 0.500 0.000
0.500 0.000 0.000
0.169 0.169 0.338
0.831 0.831 0.662
0.000 0.000 0.000
0.611 0.611 0.222
0.389 0.389 0.778

=====

No. 24
LiLaNd4 (PBE, relaxed); calculated formation energy = 47 meV per atom
1.0
2.618 2.618 0.002
-2.618 2.618 0.002
0.000 -0.009 14.556
La Nd Li
1 4 1
Direct
0.000 0.000 0.000
0.000 0.000 0.358
0.500 0.500 0.816
0.500 0.500 0.184
0.000 0.000 0.642
0.500 0.500 0.500